Arrangement one

VASP calculation (PBE) on a geometry-optimized MgSb2Ru2 structure.

Cell lengths 6.351, 6.351, 6.351 Å; angles 140.01, 140.01, 57.85 degrees
Positions (direct):
Mg1 0.000 0.000 0.000
Sb1 0.250 0.750 0.500
Sb2 0.750 0.250 0.500
Ru1 0.388 0.388 0.000
Ru2 0.612 0.612 0.000

crystal system: tetragonal
space-group type: No. 139
DOS at the Fermi energy: 2.41 states/eV per cell
theoretical density: 7.44 g cm⁻³

Arrangement two

VASP calculation (PBE) on a geometry-optimized MgSb2Ru2 structure.

Cell lengths 7.568, 7.568, 3.249 Å; angles 90.00, 90.00, 90.00 degrees
Positions (direct):
Mg1 0.000 0.000 0.000
Mg2 0.500 0.500 0.000
Sb1 0.156 0.344 0.500
Sb2 0.344 0.844 0.500
Sb3 0.656 0.156 0.500
Sb4 0.844 0.656 0.500
Ru1 0.140 0.640 0.000
Ru2 0.360 0.140 0.000
Ru3 0.640 0.860 0.000
Ru4 0.860 0.360 0.000

crystal system: tetragonal
space-group type: No. 127
DOS at the Fermi energy: 6.44 states/eV per cell
theoretical density: 8.39 g cm⁻³

Most favorable structure: arrangement two. The second most favorable one is 196 meV per atom above it.

Arrangement one

VASP calculation (PBE) on a geometry-optimized Mg2Sc2Ru structure.

Cell lengths 6.739, 6.739, 4.546 Å; angles 90.00, 90.00, 90.00 degrees
Positions (direct):
Mg1 0.140 0.360 0.000
Mg2 0.360 0.860 0.000
Mg3 0.640 0.140 0.000
Mg4 0.860 0.640 0.000
Sc1 0.182 0.682 0.500
Sc2 0.318 0.182 0.500
Sc3 0.682 0.818 0.500
Sc4 0.818 0.318 0.500
Ru1 0.000 0.000 0.000
Ru2 0.500 0.500 0.000

crystal system: tetragonal
space-group type: No. 127
DOS at the Fermi energy: 11.96 states/eV per cell
theoretical density: 3.85 g cm⁻³

Arrangement two

VASP calculation (PBE) on a geometry-optimized Mg2Sc2Ru structure.

Cell lengths 7.745, 7.745, 7.745 Å; angles 151.89, 151.89, 40.18 degrees
Positions (direct):
Mg1 0.087 0.087 0.000
Mg2 0.913 0.913 0.000
Sc1 0.250 0.750 0.500
Sc2 0.750 0.250 0.500
Ru1 0.500 0.500 0.000

crystal system: tetragonal
space-group type: No. 139
DOS at the Fermi energy: 2.51 states/eV per cell
theoretical density: 3.86 g cm⁻³

Most favorable structure: arrangement one. The second most favorable one is 397 meV per atom above it.

Arrangement one

VASP calculation (PBE) on a geometry-optimized TbMgScRu structure.

Cell lengths 4.893, 4.893, 4.893 Å; angles 60.00, 60.00, 60.00 degrees
Positions (direct):
Tb1 0.000 0.000 0.000
Mg1 0.250 0.250 0.250
Sc1 0.500 0.500 0.500
Ru1 0.750 0.750 0.750

crystal system: cubic
space-group type: No. 216
DOS at the Fermi energy: 3.67 states/eV per cell
theoretical density: 6.60 g cm⁻³

Arrangement two

VASP calculation (PBE) on a geometry-optimized TbMgScRu structure.

Cell lengths 3.362, 3.362, 7.838 Å; angles 90.00, 90.00, 90.00 degrees
Positions (direct):
Tb1 0.000 0.000 0.000
Mg1 0.500 0.500 0.318
Sc1 0.000 0.000 0.594
Ru1 0.500 0.500 0.777

crystal system: tetragonal
space-group type: No. 99
DOS at the Fermi energy: 2.91 states/eV per cell
theoretical density: 6.17 g cm⁻³

Most favorable structure: arrangement two. The second most favorable one is 109 meV per atom above it.

Arrangement one

VASP calculation (PBE) on a geometry-optimized TmMgScRu structure.

Cell lengths 3.337, 3.337, 7.763 Å; angles 90.00, 90.00, 90.00 degrees
Positions (direct):
Tm1 0.000 0.000 0.000
Mg1 0.500 0.500 0.315
Sc1 0.000 0.000 0.596
Ru1 0.500 0.500 0.784

crystal system: tetragonal
space-group type: No. 99
DOS at the Fermi energy: 2.44 states/eV per cell
theoretical density: 6.52 g cm⁻³

Arrangement two

VASP calculation (PBE) on a geometry-optimized TmMgScRu structure.

Cell lengths 4.850, 4.850, 4.850 Å; angles 60.00, 60.00, 60.00 degrees
Positions (direct):
Tm1 0.000 0.000 0.000
Mg1 0.250 0.250 0.250
Sc1 0.500 0.500 0.500
Ru1 0.750 0.750 0.750

crystal system: cubic
space-group type: No. 216
DOS at the Fermi energy: 3.80 states/eV per cell
theoretical density: 6.99 g cm⁻³

Most favorable structure: arrangement one. The second most favorable one is 115 meV per atom above it.

Arrangement one

VASP calculation (PBE) on a geometry-optimized YMgSc2Ru structure.

Cell lengths 5.029, 5.029, 5.362 Å; angles 90.00, 90.00, 90.00 degrees
Positions (direct):
Y1 0.000 0.000 0.000
Mg1 0.500 0.500 0.000
Sc1 0.000 0.500 0.500
Sc2 0.500 0.000 0.500
Ru1 0.000 0.000 0.500

crystal system: tetragonal
space-group type: No. 123
DOS at the Fermi energy: 3.28 states/eV per cell
theoretical density: 3.72 g cm⁻³

Arrangement two

VASP calculation (PBE) on a geometry-optimized YMgSc2Ru structure.

Cell lengths 4.917, 4.917, 5.196 Å; angles 90.00, 90.00, 90.00 degrees
Positions (direct):
Y1 0.000 0.000 0.000
Mg1 0.500 0.500 0.000
Sc1 0.000 0.500 0.500
Sc2 0.500 0.000 0.500
Ru1 0.500 0.500 0.500

crystal system: tetragonal
space-group type: No. 123
DOS at the Fermi energy: 3.08 states/eV per cell
theoretical density: 4.02 g cm⁻³

Most favorable structure: arrangement two. The second most favorable one is 17 meV per atom above it.

Arrangement one

VASP calculation (PBE) on a geometry-optimized MgZrScRu structure.

Cell lengths 4.754, 4.754, 4.754 Å; angles 60.00, 60.00, 60.00 degrees
Positions (direct):
Mg1 0.000 0.000 0.000
Zr1 0.750 0.750 0.750
Sc1 0.250 0.250 0.250
Ru1 0.500 0.500 0.500

crystal system: cubic
space-group type: No. 216
DOS at the Fermi energy: 2.88 states/eV per cell
theoretical density: 5.72 g cm⁻³

Arrangement two

VASP calculation (PBE) on a geometry-optimized MgZrScRu structure.

Cell lengths 3.283, 3.283, 7.436 Å; angles 90.00, 90.00, 90.00 degrees
Positions (direct):
Mg1 0.000 0.000 0.000
Zr1 0.500 0.500 0.713
Sc1 0.500 0.500 0.288
Ru1 0.000 0.000 0.502

crystal system: tetragonal
space-group type: No. 99
DOS at the Fermi energy: 4.34 states/eV per cell
theoretical density: 5.42 g cm⁻³

Most favorable structure: arrangement two. The second most favorable one is 54 meV per atom above it.

Arrangement one

VASP calculation (PBE) on a geometry-optimized Mg3RuSe structure.

Cell lengths 4.904, 4.904, 4.904 Å; angles 90.00, 90.00, 90.00 degrees
Positions (direct):
Mg1 0.000 0.000 0.500
Mg2 0.000 0.500 0.000
Mg3 0.500 0.000 0.000
Ru1 0.000 0.000 0.000
Se1 0.500 0.500 0.500

crystal system: cubic
space-group type: No. 221
DOS at the Fermi energy: 0.52 states/eV per cell
theoretical density: 3.56 g cm⁻³

Arrangement two

VASP calculation (PBE) on a geometry-optimized Mg3RuSe structure.

Cell lengths 4.868, 4.868, 4.868 Å; angles 90.00, 90.00, 90.00 degrees
Positions (direct):
Mg1 0.000 0.000 0.500
Mg2 0.000 0.500 0.000
Mg3 0.500 0.000 0.000
Ru1 0.500 0.500 0.500
Se1 0.000 0.000 0.000

crystal system: cubic
space-group type: No. 221
DOS at the Fermi energy: 3.20 states/eV per cell
theoretical density: 3.64 g cm⁻³

Most favorable structure: arrangement one. The second most favorable one is 192 meV per atom above it.

Arrangement one

VASP calculation (PBE) on a geometry-optimized Sm2MgRu structure.

Cell lengths 5.123, 5.123, 5.123 Å; angles 60.00, 60.00, 60.00 degrees
Positions (direct):
Sm1 0.250 0.250 0.250
Sm2 0.750 0.750 0.750
Mg1 0.000 0.000 0.000
Ru1 0.500 0.500 0.500

crystal system: cubic
space-group type: No. 225
DOS at the Fermi energy: 3.96 states/eV per cell
theoretical density: 7.44 g cm⁻³

Arrangement two

VASP calculation (PBE) on a geometry-optimized Sm2MgRu structure.

Cell lengths 7.598, 7.433, 7.588 Å; angles 90.00, 90.00, 90.00 degrees
Positions (direct):
Sm1 0.163 0.003 0.164
Sm2 0.163 0.497 0.164
Sm3 0.337 0.503 0.664
Sm4 0.337 0.997 0.664
Sm5 0.663 0.003 0.336
Sm6 0.663 0.497 0.336
Sm7 0.837 0.503 0.836
Sm8 0.837 0.997 0.836
Mg1 0.007 0.250 0.481
Mg2 0.493 0.750 0.981
Mg3 0.507 0.250 0.019
Mg4 0.993 0.750 0.519
Ru1 0.134 0.750 0.867
Ru2 0.366 0.250 0.367
Ru3 0.634 0.750 0.633
Ru4 0.866 0.250 0.133

crystal system: orthorhombic
space-group type: No. 62
DOS at the Fermi energy: 10.07 states/eV per cell
theoretical density: 6.60 g cm⁻³

Arrangement three

VASP calculation (PBE) on a geometry-optimized Sm2MgRu structure.

Cell lengths 3.495, 3.495, 8.321 Å; angles 90.00, 90.00, 90.00 degrees
Positions (direct):
Sm1 0.000 0.000 0.204
Sm2 0.000 0.000 0.796
Mg1 0.500 0.500 0.500
Ru1 0.500 0.500 0.000

crystal system: tetragonal
space-group type: No. 123
DOS at the Fermi energy: 3.90 states/eV per cell
theoretical density: 6.96 g cm⁻³

Arrangement four

VASP calculation (PBE) on a geometry-optimized Sm2MgRu structure.

Cell lengths 9.058, 9.058, 9.058 Å; angles 24.73, 24.73, 24.73 degrees
Positions (direct):
Sm1 0.229 0.229 0.229
Sm2 0.771 0.771 0.771
Mg1 0.000 0.000 0.000
Ru1 0.500 0.500 0.500

crystal system: trigonal
space-group type: No. 166
DOS at the Fermi energy: 2.54 states/eV per cell
theoretical density: 6.18 g cm⁻³

Most favorable structure: arrangement two. The second most favorable one is 10 meV per atom above it.